w.
Compound: TlIOF2
Source: Alexandria via LeMat-Bulk
Functional: PBE-GGA
Structure: optimized geometry

Unit cell a=4.3969 b=4.3969 c=4.6603 alpha=90.00 beta=90.00 gamma=90.00
Fractional coordinates of all 5 atoms:
Tl: 0.0000 0.0000 0.0000
I: 0.5000 0.5000 0.5000
O: 0.0000 0.0000 0.5000
F: 0.0000 0.5000 0.0000
F: 0.5000 0.0000 0.0000

Summary:
Crystal system = tetragonal

x.
Compound: TlIOF2
Source: Alexandria via LeMat-Bulk
Functional: PBE-GGA
Structure: optimized geometry

Unit cell a=5.0208 b=5.0208 c=4.0697 alpha=90.00 beta=90.00 gamma=90.00
Fractional coordinates of all 5 atoms:
Tl: 0.0000 0.0000 0.0000
I: 0.5000 0.5000 0.5000
O: 0.5000 0.5000 0.0000
F: 0.0000 0.5000 0.5000
F: 0.5000 0.0000 0.5000

Summary:
Crystal system = tetragonal

Stability verdict: x, ahead by 234 meV/atom